Entry 1:
Below is a relaxed structure of KTl5, with properties calculated at the PBE level.

Computed properties:
- energy above the most stable polymorph in this dataset (kJ/mol of formula units) = 9.7
- uncorrected energy (eV/atom) = -2.188

Cell lengths 4.1452, 4.1452, 11.4611 Å; angles 90.00, 90.00, 90.00 degrees
Closest atoms and distances in Å follow each position.
Fractional positions:
Tl 0.0000 0.0000 0.1975  5 Tl 3.39-3.47, 4 K 3.70
Tl 0.0000 0.0000 0.8025  5 Tl 3.39-3.47, 4 K 3.70
Tl 0.5000 0.5000 0.3453  9 Tl 3.39-3.55
Tl 0.5000 0.5000 0.6547  9 Tl 3.39-3.55
K 0.5000 0.5000 0.0000  10 Tl 3.70-3.96, 4 K 4.15
Tl 0.0000 0.0000 0.5000  10 Tl 3.43-3.47

---

Entry 2:
Below is a relaxed structure of KTl4, with properties calculated at the PBE level.

Computed properties:
- uncorrected energy (eV/atom) = -2.121

Cell lengths 9.7656, 9.7656, 9.7656 Å; angles 109.47, 109.47, 109.47 degrees
Closest atoms and distances in Å follow each position.
Fractional positions:
K 0.0000 0.5690 0.0000  4 Tl 3.48-3.75
Tl 0.0000 0.3491 0.3491  7 Tl 3.22-3.40
Tl 0.7873 0.7873 0.7873  6 Tl 3.22-3.39, 1 K 3.48
K 0.4310 0.4310 0.4310  4 Tl 3.48-3.75
Tl 0.2127 0.0000 0.0000  6 Tl 3.22-3.39, 1 K 3.48
Tl 0.2499 0.7499 0.5000  4 Tl 3.29
Tl 0.6509 0.6509 0.0000  7 Tl 3.22-3.40
Tl 0.0000 0.6509 0.6509  7 Tl 3.22-3.40
Tl 0.7499 0.5000 0.2499  4 Tl 3.29
Tl 0.5000 0.7501 0.2501  4 Tl 3.29
Tl 0.3491 0.3491 0.0000  7 Tl 3.22-3.40
Tl 0.0000 0.0000 0.2127  6 Tl 3.22-3.39, 1 K 3.48
Tl 0.2501 0.5000 0.7501  4 Tl 3.29
Tl 0.7501 0.2501 0.5000  4 Tl 3.29
Tl 0.5000 0.2499 0.7499  4 Tl 3.29
K 0.0000 0.0000 0.5690  4 Tl 3.48-3.75
Tl 0.0000 0.2127 0.0000  6 Tl 3.22-3.39, 1 K 3.48
Tl 0.6509 0.0000 0.6509  7 Tl 3.22-3.40
K 0.5690 0.0000 0.0000  4 Tl 3.48-3.75
Tl 0.3491 0.0000 0.3491  7 Tl 3.22-3.40

---

Entry 3:
Below is a relaxed structure of K17Tl12, with properties calculated at the PBE level.

Computed properties:
- uncorrected energy (eV/atom) = -1.680

Cell lengths 11.5830, 11.5830, 11.5830 Å; angles 109.47, 109.47, 109.47 degrees
Closest atoms and distances in Å follow each position.
Fractional positions:
K 0.0000 0.6758 0.0000  4 K 3.74-3.75, 6 Tl 3.87
Tl 0.8259 0.1954 0.8259  2 Tl 3.29
K 0.6971 0.4240 0.0000  7 K 3.74-4.15, 5 Tl 3.79-3.93
Tl 0.1954 0.8259 0.8259  2 Tl 3.29
Tl 0.3695 0.0000 0.1741  2 Tl 3.29
K 0.5760 0.5760 0.2731  7 K 3.74-4.15, 5 Tl 3.79-3.93
Tl 0.1741 0.0000 0.3695  2 Tl 3.29
K 0.3029 0.3029 0.7269  7 K 3.74-4.15, 5 Tl 3.79-3.93
K 0.0000 0.0000 0.0000  4 K 3.75, 12 Tl 4.08
K 0.6758 0.0000 0.0000  4 K 3.74-3.75, 6 Tl 3.87
Tl 0.6305 0.6305 0.8046  2 Tl 3.29
K 0.7269 0.3029 0.3029  7 K 3.74-4.15, 5 Tl 3.79-3.93
Tl 0.6305 0.8046 0.6305  2 Tl 3.29
Tl 0.0000 0.3695 0.1741  2 Tl 3.29
K 0.0000 0.6971 0.4240  7 K 3.74-4.15, 5 Tl 3.79-3.93
Tl 0.8259 0.8259 0.1954  2 Tl 3.29
K 0.2731 0.5760 0.5760  7 K 3.74-4.15, 5 Tl 3.79-3.93
Tl 0.8046 0.6305 0.6305  2 Tl 3.29
K 0.4240 0.6971 0.0000  7 K 3.74-4.15, 5 Tl 3.79-3.93
K 0.6971 0.0000 0.4240  7 K 3.74-4.15, 5 Tl 3.79-3.93
Tl 0.0000 0.1741 0.3695  2 Tl 3.29
K 0.0000 0.0000 0.6758  4 K 3.74-3.75, 6 Tl 3.87
K 0.0000 0.4240 0.6971  7 K 3.74-4.15, 5 Tl 3.79-3.93
K 0.3242 0.3242 0.3242  4 K 3.74-3.75, 6 Tl 3.87
Tl 0.3695 0.1741 0.0000  2 Tl 3.29
K 0.5760 0.2731 0.5760  7 K 3.74-4.15, 5 Tl 3.79-3.93
Tl 0.1741 0.3695 0.0000  2 Tl 3.29
K 0.4240 0.0000 0.6971  7 K 3.74-4.15, 5 Tl 3.79-3.93
K 0.3029 0.7269 0.3029  7 K 3.74-4.15, 5 Tl 3.79-3.93

---

Entry 4:
Below is a relaxed structure of KTl5, with properties calculated at the PBE level.

Computed properties:
- energy above the most stable polymorph in this dataset (kJ/mol of formula units) = 3.7
- uncorrected energy (eV/atom) = -2.198

Cell lengths 7.1717, 7.1717, 7.4991 Å; angles 74.96, 74.96, 31.49 degrees
Closest atoms and distances in Å follow each position.
Fractional positions:
K 0.9723 0.9723 0.0555  10 Tl 3.59-3.75, 2 K 3.89
Tl 0.6533 0.6533 0.2304  7 Tl 3.37-3.56, 2 K 3.68
Tl 0.6414 0.6414 0.7026  7 Tl 3.31-3.50, 2 K 3.59
Tl 0.9721 0.9721 0.5557  8 Tl 3.44-3.56, 2 K 3.75
Tl 0.3031 0.3031 0.4082  7 Tl 3.31-3.50, 2 K 3.59
Tl 0.2911 0.2911 0.8809  7 Tl 3.37-3.56, 2 K 3.68

---

Entry 5:
Below is a relaxed structure of KTl, with properties calculated at the PBE level.

Computed properties:
- uncorrected energy (eV/atom) = -1.224

Cell lengths 9.9091, 9.9091, 9.9091 Å; angles 90.00, 90.00, 90.00 degrees
Closest atoms and distances in Å follow each position.
Fractional positions:
K 0.5000 0.0000 0.7500  4 Tl 3.50
K 0.7500 0.5000 0.0000  4 Tl 3.50
Tl 0.0000 0.5000 0.2500  4 K 3.50
K 0.5000 0.0000 0.2500  4 Tl 3.50
K 0.0000 0.2500 0.5000  4 Tl 3.50
Tl 0.7500 0.0000 0.5000  4 K 3.50
Tl 0.5000 0.2500 0.0000  4 K 3.50
Tl 0.2500 0.0000 0.5000  4 K 3.50
Tl 0.5000 0.7500 0.0000  4 K 3.50
K 0.2500 0.5000 0.0000  4 Tl 3.50
Tl 0.0000 0.5000 0.7500  4 K 3.50
K 0.0000 0.7500 0.5000  4 Tl 3.50

---

Entry 6:
Below is a relaxed structure of KTl, with properties calculated at the PBE level.

Computed properties:
- uncorrected energy (eV/atom) = -1.747

Cell lengths 12.6914, 12.6914, 5.2769 Å; angles 90.00, 90.00, 90.00 degrees
Closest atoms and distances in Å follow each position.
Fractional positions:
Tl 0.7911 0.7911 0.0000  2 Tl 3.02
K 0.2618 0.0000 0.5000  6 Tl 3.71-3.80
K 0.5000 0.7618 0.0000  6 Tl 3.71-3.80
K 0.7382 0.0000 0.5000  6 Tl 3.71-3.80
K 0.2382 0.5000 0.0000  6 Tl 3.71-3.80
Tl 0.2089 0.2089 0.0000  2 Tl 3.02
Tl 0.2911 0.2911 0.5000  2 Tl 3.02
Tl 0.7089 0.7089 0.5000  2 Tl 3.02
K 0.7618 0.5000 0.0000  6 Tl 3.71-3.80
K 0.0000 0.2618 0.5000  6 Tl 3.71-3.80
K 0.5000 0.2382 0.0000  6 Tl 3.71-3.80
Tl 0.7911 0.2089 0.0000  2 Tl 3.02
Tl 0.2911 0.7089 0.5000  2 Tl 3.02
Tl 0.7089 0.2911 0.5000  2 Tl 3.02
K 0.0000 0.7382 0.5000  6 Tl 3.71-3.80
Tl 0.2089 0.7911 0.0000  2 Tl 3.02

---

Entry 7:
Below is a relaxed structure of KTl, with properties calculated at the PBE level.

Computed properties:
- uncorrected energy (eV/atom) = -1.724

Cell lengths 11.8747, 11.8747, 11.8747 Å; angles 20.22, 20.22, 20.22 degrees
Closest atoms and distances in Å follow each position.
Fractional positions:
K 0.7662 0.7662 0.7662  3 Tl 3.60
Tl 0.5096 0.5096 0.5096  3 Tl 3.29, 3 K 3.60
K 0.9838 0.9838 0.9838  3 Tl 3.60
Tl 0.2404 0.2404 0.2404  3 Tl 3.29, 3 K 3.60

---

Entry 8:
Below is a relaxed structure of KTl4, with properties calculated at the PBE level.

Computed properties:
- uncorrected energy (eV/atom) = -2.157

Cell lengths 6.1319, 6.1319, 6.1319 Å; angles 101.00, 101.00, 128.20 degrees
Closest atoms and distances in Å follow each position.
Fractional positions:
Tl 0.4321 0.1985 0.6306  7 Tl 3.27-3.54, 2 K 3.60
Tl 0.1985 0.5679 0.7664  7 Tl 3.27-3.54, 2 K 3.60
Tl 0.8015 0.4321 0.2336  7 Tl 3.27-3.54, 2 K 3.60
K 0.0000 0.0000 0.0000  12 Tl 3.60-3.71
Tl 0.5679 0.8015 0.3694  7 Tl 3.27-3.54, 2 K 3.60

---

Entry 9:
Below is a relaxed structure of KTl12, with properties calculated at the PBE level.

Computed properties:
- energy above the most stable polymorph in this dataset (kJ/mol of formula units) = 271.7
- uncorrected energy (eV/atom) = -2.057

Cell lengths 9.2630, 9.2630, 9.2630 Å; angles 60.00, 60.00, 60.00 degrees
Closest atoms and distances in Å follow each position.
Fractional positions:
Tl 0.5000 0.5000 0.8405  5 Tl 2.95-3.15
Tl 0.5000 0.5000 0.1595  5 Tl 2.95-3.15
Tl 0.5000 0.8405 0.5000  5 Tl 2.95-3.15
Tl 0.5000 0.1595 0.8405  5 Tl 2.95-3.15
K 0.0000 0.0000 0.0000  24 Tl 4.86
Tl 0.1595 0.5000 0.5000  5 Tl 2.95-3.15
Tl 0.1595 0.8405 0.5000  5 Tl 2.95-3.15
Tl 0.8405 0.5000 0.5000  5 Tl 2.95-3.15
Tl 0.1595 0.5000 0.8405  5 Tl 2.95-3.15
Tl 0.5000 0.1595 0.5000  5 Tl 2.95-3.15
Tl 0.5000 0.8405 0.1595  5 Tl 2.95-3.15
Tl 0.8405 0.1595 0.5000  5 Tl 2.95-3.15
Tl 0.8405 0.5000 0.1595  5 Tl 2.95-3.15

---

Entry 10:
Below is a relaxed structure of KTl, with properties calculated at the PBE level.

Computed properties:
- uncorrected energy (eV/atom) = -1.711

Cell lengths 4.2744, 4.2744, 4.2744 Å; angles 90.00, 90.00, 90.00 degrees
Closest atoms and distances in Å follow each position.
Fractional positions:
K 0.0000 0.0000 0.0000  8 Tl 3.70
Tl 0.5000 0.5000 0.5000  8 K 3.70